The following is a PBE calculation of a relaxed structure of Re3Mo, from Alexandria via LeMat-Bulk.

Structure (extended XYZ):
```
8
Lattice="4.9813 0.0000 0.0000 0.0000 4.9813 0.0000 0.0000 0.0000 4.9813" Properties=species:S:1:pos:R:3 pbc="T T T"
Mo 2.4907 2.4907 2.4907
Re 0.0000 1.2453 2.4907
Re 3.7360 2.4907 0.0000
Re 1.2453 2.4907 0.0000
Re 0.0000 3.7360 2.4907
Mo 0.0000 0.0000 0.0000
Re 2.4907 0.0000 3.7360
Re 2.4907 0.0000 1.2453
```

Output
Total DFT energy (no corrections), eV per atom: -11.847
Calculated formation energy, eV/atom: 0.197
SG: Pm-3n, No. 223
Fermi-level density of states, states/eV/cell: 6.2
Polymorph energy (0 for the lowest one), kJ/mol of formula units: 42
Magnetization, μB/f.u.: 0.00